## Be3IrSe (GGA-PBE)

Data for a geometry-optimized Be3IrSe structure.

Its uncorrected formation energy is 982 meV/atom. Its total energy is -3.72 eV/atom.

The space group is Pm-3m (No. 221) and the conventional cell measures 4.133, 4.133 and 4.133 Å, with angles of 90.00, 90.00 and 90.00 degrees. Symmetry generates all atoms from Be at (0.000, 0.000, 0.500), Ir at (0.500, 0.500, 0.500) and Se at (0.000, 0.000, 0.000).



## BeIrSe2 (GGA-PBE)

Data for a geometry-optimized BeIrSe2 structure.

Its uncorrected formation energy is -103 meV/atom. Its total energy is -4.99 eV/atom.

The space group is I-42d (No. 122) and the conventional cell measures 5.381, 5.381 and 10.660 Å, with angles of 90.00, 90.00 and 90.00 degrees. Symmetry generates all atoms from Be at (0.000, 0.000, 0.000), Ir at (0.000, 0.000, 0.500) and Se at (0.219, 0.250, 0.125).



## Be2IrSe (GGA-PBE)

Data for a geometry-optimized Be2IrSe structure.

Its uncorrected formation energy is 232 meV/atom. Its total energy is -4.72 eV/atom.

The space group is I-4m2 (No. 119) and the conventional cell measures 3.484, 3.484 and 8.412 Å, with angles of 90.00, 90.00 and 90.00 degrees. Symmetry generates all atoms from Be at (0.000, 0.000, 0.000), Be at (0.000, 0.500, 0.250), Ir at (0.000, 0.500, 0.750) and Se at (0.000, 0.000, 0.500).



## BeIrSe3 (GGA-PBE)

Data for a geometry-optimized BeIrSe3 structure.

Its uncorrected formation energy is 948 meV/atom. Its total energy is -3.66 eV/atom.

The space group is Pm-3m (No. 221) and the conventional cell measures 4.911, 4.911 and 4.911 Å, with angles of 90.00, 90.00 and 90.00 degrees. Symmetry generates all atoms from Be at (0.000, 0.000, 0.000), Ir at (0.500, 0.500, 0.500) and Se at (0.000, 0.500, 0.500).



## Be2IrSe (GGA-PBE)

Data for a geometry-optimized Be2IrSe structure.

Its uncorrected formation energy is -206 meV/atom. Its total energy is -5.16 eV/atom.

The space group is Pmmm (No. 47) and the conventional cell measures 2.818, 2.838 and 6.978 Å, with angles of 90.00, 90.00 and 90.00 degrees. Symmetry generates all atoms from Be at (0.000, 0.000, 0.175), Ir at (0.500, 0.500, 0.000) and Se at (0.000, 0.500, 0.500).



## BeIrSe2 (GGA-PBE)

Data for a geometry-optimized BeIrSe2 structure.

Its uncorrected formation energy is 506 meV/atom. Its total energy is -4.38 eV/atom.

The space group is Fm-3m (No. 225) and the conventional cell measures 6.284, 6.284 and 6.284 Å, with angles of 90.00, 90.00 and 90.00 degrees. Symmetry generates all atoms from Be at (0.000, 0.000, 0.000), Ir at (0.000, 0.000, 0.500) and Se at (0.250, 0.250, 0.250).



## BeIrSe2 (GGA-PBE)

Data for a geometry-optimized BeIrSe2 structure.

Its uncorrected formation energy is -123 meV/atom. Its total energy is -5.01 eV/atom.

The space group is Pm (No. 6) and the conventional cell measures 3.529, 3.556 and 6.402 Å, with angles of 90.00, 90.51 and 90.00 degrees. Symmetry generates all atoms from Be at (0.000, 0.000, 0.000), Ir at (0.514, 0.500, 0.012), Se at (0.009, 0.500, 0.742) and Se at (0.477, 0.000, 0.277).



## BeIrSe2 (GGA-PBE)

Data for a geometry-optimized BeIrSe2 structure.

Its uncorrected formation energy is -16 meV/atom. Its total energy is -4.91 eV/atom.

The space group is P2/m (No. 10) and the conventional cell measures 4.516, 3.607 and 5.619 Å, with angles of 90.00, 98.37 and 90.00 degrees. Symmetry generates all atoms from Be at (0.000, 0.000, 0.000), Ir at (0.500, 0.000, 0.000) and Se at (0.310, 0.500, 0.237).



## BeIrSe2 (GGA-PBE)

Data for a geometry-optimized BeIrSe2 structure.

Its uncorrected formation energy is 708 meV/atom. Its total energy is -4.18 eV/atom.

The space group is F-43m (No. 216) and the conventional cell measures 6.299, 6.299 and 6.299 Å, with angles of 90.00, 90.00 and 90.00 degrees. Symmetry generates all atoms from Be at (0.000, 0.000, 0.000), Ir at (0.250, 0.250, 0.250), Se at (0.000, 0.000, 0.500) and Se at (0.250, 0.250, 0.750).



## Be2IrSe (GGA-PBE)

Data for a geometry-optimized Be2IrSe structure.

Its uncorrected formation energy is 370 meV/atom. Its total energy is -4.58 eV/atom.

The space group is R3m (No. 160, hexagonal axes) and the conventional cell measures 2.9676, 2.9676 and 20.8586 Å, with angles of 90.00, 90.00 and 120.00 degrees. Symmetry generates all atoms from Be at (0.0000, 0.0000, 0.0000), Be at (0.0000, 0.0000, 0.2533), Ir at (0.0000, 0.0000, 0.7413) and Se at (0.0000, 0.0000, 0.5112).



## BeIr4Se (GGA-PBE)

Data for a geometry-optimized BeIr4Se structure.

Its uncorrected formation energy is 840 meV/atom. Its total energy is -6.27 eV/atom.

The space group is F-43m (No. 216) and the conventional cell measures 7.332, 7.332 and 7.332 Å, with angles of 90.00, 90.00 and 90.00 degrees. Symmetry generates all atoms from Be at (0.000, 0.000, 0.000), Ir at (0.125, 0.125, 0.625) and Se at (0.250, 0.250, 0.250).



## BeIrSe2 (GGA-PBE)

Data for a geometry-optimized BeIrSe2 structure.

Its uncorrected formation energy is 442 meV/atom. Its total energy is -4.45 eV/atom.

The space group is P4/mmm (No. 123) and the conventional cell measures 4.558, 4.558 and 2.982 Å, with angles of 90.00, 90.00 and 90.00 degrees. Symmetry generates all atoms from Be at (0.000, 0.000, 0.000), Ir at (0.500, 0.500, 0.000) and Se at (0.000, 0.500, 0.500).



## Be2IrSe (GGA-PBE)

Data for a geometry-optimized Be2IrSe structure.

Its uncorrected formation energy is 187 meV/atom. Its total energy is -4.76 eV/atom.

The space group is I4/mmm (No. 139) and the conventional cell measures 3.730, 3.730 and 7.206 Å, with angles of 90.00, 90.00 and 90.00 degrees. Symmetry generates all atoms from Be at (0.000, 0.500, 0.250), Ir at (0.000, 0.000, 0.000) and Se at (0.000, 0.000, 0.500).



## BeIrSe2 (GGA-PBE)

Data for a geometry-optimized BeIrSe2 structure.

Its uncorrected formation energy is 478 meV/atom. Its total energy is -4.41 eV/atom.

The space group is Cmmm (No. 65) and the conventional cell measures 3.211, 6.815 and 7.026 Å, with angles of 90.00, 90.00 and 90.00 degrees. Symmetry generates all atoms from Be at (0.000, 0.000, 0.000), Ir at (0.000, 0.000, 0.500) and Se at (0.000, 0.500, 0.230).



## Be2IrSe (GGA-PBE)

Data for a geometry-optimized Be2IrSe structure.

Its uncorrected formation energy is -33 meV/atom. Its total energy is -4.98 eV/atom.

The space group is P4mm (No. 99) and the conventional cell measures 3.029, 3.029 and 6.002 Å, with angles of 90.00, 90.00 and 90.00 degrees. Symmetry generates all atoms from Be at (0.000, 0.000, 0.000), Be at (0.500, 0.500, 0.214), Ir at (0.000, 0.000, 0.360) and Se at (0.500, 0.500, 0.805).



## Be2IrSe (GGA-PBE)

Data for a geometry-optimized Be2IrSe structure.

Its uncorrected formation energy is 25 meV/atom. Its total energy is -4.92 eV/atom.

The space group is R-3m (No. 166, hexagonal axes) and the conventional cell measures 3.0033, 3.0033 and 19.8244 Å, with angles of 90.00, 90.00 and 120.00 degrees. Symmetry generates all atoms from Be at (0.0000, 0.0000, 0.2488), Ir at (0.0000, 0.0000, 0.5000) and Se at (0.0000, 0.0000, 0.0000).



## BeIrSe2 (GGA-PBE)

Data for a geometry-optimized BeIrSe2 structure.

Its uncorrected formation energy is 167 meV/atom. Its total energy is -4.72 eV/atom.

The space group is R-3m (No. 166, hexagonal axes) and the conventional cell measures 3.1644, 3.1644 and 22.7533 Å, with angles of 90.00, 90.00 and 120.00 degrees. Symmetry generates all atoms from Be at (0.0000, 0.0000, 0.0000), Ir at (0.0000, 0.0000, 0.5000) and Se at (0.0000, 0.0000, 0.3955).



## Be2IrSe (GGA-PBE)

Data for a geometry-optimized Be2IrSe structure.

Its uncorrected formation energy is 257 meV/atom. Its total energy is -4.69 eV/atom.

The space group is I-42d (No. 122) and the conventional cell measures 5.382, 5.382 and 9.051 Å, with angles of 90.00, 90.00 and 90.00 degrees. Symmetry generates all atoms from Be at (0.250, 0.250, 0.125), Ir at (0.000, 0.000, 0.000) and Se at (0.000, 0.000, 0.500).



## BeIrSe2 (GGA-PBE)

Data for a geometry-optimized BeIrSe2 structure.

Its uncorrected formation energy is 652 meV/atom. Its total energy is -4.24 eV/atom.

The space group is Pmmm (No. 47) and the conventional cell measures 2.995, 4.518 and 4.639 Å, with angles of 90.00, 90.00 and 90.00 degrees. Symmetry generates all atoms from Be at (0.000, 0.000, 0.000), Ir at (0.500, 0.000, 0.500), Se at (0.000, 0.500, 0.500) and Se at (0.500, 0.500, 0.000).



## BeIrSe3 (GGA-PBE)

Data for a geometry-optimized BeIrSe3 structure.

Its uncorrected formation energy is 773 meV/atom. Its total energy is -3.83 eV/atom.

The space group is Pm-3m (No. 221) and the conventional cell measures 4.422, 4.422 and 4.422 Å, with angles of 90.00, 90.00 and 90.00 degrees. Symmetry generates all atoms from Be at (0.000, 0.000, 0.000), Ir at (0.500, 0.500, 0.500) and Se at (0.000, 0.000, 0.500).



For the records above, the corresponding N(E_F) values read 2.025, 2.354, 2.197, 8.000, 0.717, 4.045, 2.241, 1.977, 2.131, 1.771, 8.183, 1.123, 1.034, 3.148, 2.268, 1.572, 2.087, 3.642, 1.920, 4.940 states/eV/f.u..